# Na3Dy3VO8

A geometry-optimized Na3Dy3VO8 structure (GGA+U, Alexandria via LeMat-Bulk).

The structure in POSCAR format:
```
Na3Dy3VO8
1.0
-5.762 -2.073 2.668
5.751 -2.767 1.910
-1.435 6.354 1.837
Na Dy V O
3 3 1 8
Cartesian
0.000 0.000 0.000
2.876 -1.384 0.955
-0.005 -2.420 2.289
-3.599 2.140 2.252
-0.723 0.757 3.207
2.158 1.793 1.873
-0.718 3.177 0.918
1.090 -0.163 2.228
-2.536 1.676 4.187
-1.662 -1.275 3.782
0.216 2.788 2.633
-4.849 0.259 2.695
3.403 1.255 3.719
-1.675 1.401 1.226
0.229 0.113 5.189
```

Calculated values
For the density of states at the Fermi level, the calculation gives 0.00 states/eV per cell. The calculation puts the electronic total energy at -6.963 eV/atom. The crystal system is monoclinic.